1.
{"formula": "Ac2Mn2Te2Se3", "functional": "PBE-GGA", "state": "relaxed", "formation_energy_uncorrected_ev_per_atom": -1.01, "total_magnetization_mub_per_atom": 1.09, "volume_a3_per_atom": 29.11, "sg": "No. 139", "lattice_angstrom": [[-2.521, 2.521, 10.305], [2.521, -2.521, 10.305], [2.521, 2.521, -10.305]], "species": ["Ac", "Ac", "Mn", "Mn", "Te", "Te", "Se", "Se", "Se"], "fractional_positions": [[0.169, 0.169, 0.000], [0.831, 0.831, 0.000], [0.000, 0.500, 0.500], [0.500, 0.000, 0.500], [0.408, 0.408, 0.000], [0.592, 0.592, 0.000], [0.000, 0.000, 0.000], [0.250, 0.750, 0.500], [0.750, 0.250, 0.500]]}

---

2.
{"formula": "Ac2YMnSe6", "functional": "PBE-GGA", "state": "relaxed", "formation_energy_uncorrected_ev_per_atom": -1.58, "total_magnetization_mub_per_atom": 0.40, "volume_a3_per_atom": 27.65, "sg": "No. 14", "lattice_angstrom": [[6.976, 0.000, 0.000], [0.000, 7.837, 0.000], [-6.821, 0.000, 10.114]], "species": ["Ac", "Ac", "Ac", "Ac", "Y", "Y", "Mn", "Mn", "Se", "Se", "Se", "Se", "Se", "Se", "Se", "Se", "Se", "Se", "Se", "Se"], "fractional_positions": [[0.208, 0.104, 0.247], [0.208, 0.396, 0.747], [0.792, 0.604, 0.253], [0.792, 0.896, 0.753], [0.500, 0.000, 0.000], [0.500, 0.500, 0.500], [0.000, 0.000, 0.500], [0.000, 0.500, 0.000], [0.116, 0.189, 0.944], [0.116, 0.311, 0.444], [0.258, 0.674, 0.950], [0.258, 0.826, 0.450], [0.346, 0.021, 0.733], [0.346, 0.479, 0.233], [0.654, 0.521, 0.767], [0.654, 0.979, 0.267], [0.742, 0.174, 0.550], [0.742, 0.326, 0.050], [0.884, 0.689, 0.556], [0.884, 0.811, 0.056]]}

---

3.
{"formula": "AcTaMnSi2", "functional": "PBE-GGA", "state": "relaxed", "formation_energy_uncorrected_ev_per_atom": -0.40, "total_magnetization_mub_per_atom": 0.40, "volume_a3_per_atom": 20.02, "sg": "No. 119", "lattice_angstrom": [[-2.074, 2.074, 5.819], [2.074, -2.074, 5.819], [2.074, 2.074, -5.819]], "species": ["Ac", "Ta", "Mn", "Si", "Si"], "fractional_positions": [[0.000, 0.000, 0.000], [0.750, 0.250, 0.500], [0.250, 0.750, 0.500], [0.381, 0.381, 0.000], [0.619, 0.619, 0.000]]}

---

4.
{"formula": "AcMnSi2Tc", "functional": "PBE-GGA", "state": "relaxed", "formation_energy_uncorrected_ev_per_atom": -0.52, "total_magnetization_mub_per_atom": 0.45, "volume_a3_per_atom": 19.04, "sg": "No. 119", "lattice_angstrom": [[-2.099, 2.099, 5.403], [2.099, -2.099, 5.403], [2.099, 2.099, -5.403]], "species": ["Ac", "Mn", "Si", "Si", "Tc"], "fractional_positions": [[0.000, 0.000, 0.000], [0.250, 0.750, 0.500], [0.364, 0.364, 0.000], [0.636, 0.636, 0.000], [0.750, 0.250, 0.500]]}

---

5.
{"formula": "AcMnSi2W", "functional": "PBE-GGA", "state": "relaxed", "formation_energy_uncorrected_ev_per_atom": -0.31, "total_magnetization_mub_per_atom": 0.43, "volume_a3_per_atom": 19.43, "sg": "No. 119", "lattice_angstrom": [[-2.059, 2.059, 5.727], [2.059, -2.059, 5.727], [2.059, 2.059, -5.727]], "species": ["Ac", "Mn", "Si", "Si", "W"], "fractional_positions": [[0.000, 0.000, 0.000], [0.750, 0.250, 0.500], [0.374, 0.374, 0.000], [0.626, 0.626, 0.000], [0.250, 0.750, 0.500]]}

---

6.
{"formula": "AcSm2Mn", "functional": "PBE-GGA", "state": "relaxed", "de_polymorph_mev_per_atom": 0.0, "total_magnetization_mub_per_atom": 0.79, "volume_a3_per_atom": 31.40, "sg": "No. 123", "e_form_ev_per_atom": 0.1750, "lattice_angstrom": [[3.686, 0.000, 0.000], [0.000, 3.686, 0.000], [0.000, 0.000, 9.243]], "species": ["Ac", "Sm", "Sm", "Mn"], "fractional_positions": [[0.000, 0.000, 0.000], [0.500, 0.500, 0.313], [0.500, 0.500, 0.687], [0.000, 0.000, 0.500]]}